Record 1
Compound: La9CePr4
Source: the Alexandria database
Functional: PBE
Structure: relaxed

Cell: 10.1577 10.1577 11.4140 Å, 90.00 90.00 120.00°
Atoms (fractional coordinates):
La (0.0732, 0.5366, 0.2500)
La (0.2094, 0.4188, 0.5432)
La (0.2094, 0.4188, 0.9568)
La (0.2094, 0.7906, 0.5432)
La (0.2094, 0.7906, 0.9568)
La (0.4188, 0.2094, 0.0432)
La (0.4188, 0.2094, 0.4568)
La (0.4634, 0.5366, 0.2500)
La (0.4634, 0.9268, 0.2500)
La (0.5366, 0.0732, 0.7500)
La (0.5366, 0.4634, 0.7500)
La (0.5812, 0.7906, 0.5432)
La (0.5812, 0.7906, 0.9568)
La (0.7906, 0.2094, 0.0432)
La (0.7906, 0.2094, 0.4568)
La (0.7906, 0.5812, 0.0432)
La (0.7906, 0.5812, 0.4568)
La (0.9268, 0.4634, 0.7500)
Ce (0.3333, 0.6667, 0.7500)
Ce (0.6667, 0.3333, 0.2500)
Pr (0.0000, 0.0000, 0.0000)
Pr (0.0000, 0.0000, 0.5000)
Pr (0.1155, 0.2310, 0.2500)
Pr (0.1155, 0.8845, 0.2500)
Pr (0.2310, 0.1155, 0.7500)
Pr (0.7690, 0.8845, 0.2500)
Pr (0.8845, 0.1155, 0.7500)
Pr (0.8845, 0.7690, 0.7500)

Computed properties:
The total energy comes out at -135.13 eV for the cell shown. The calculation puts the energy of formation at 0.131 eV per atom. Its space group is P6_3/mmc, No. 194.

***

Record 2
Compound: La2CePr2
Source: the Alexandria database
Functional: PBE
Structure: relaxed

Cell: 9.0055 9.0055 9.0055 Å, 149.77 149.77 43.28°
Atoms (fractional coordinates):
La (0.2500, 0.7500, 0.5000)
La (0.7500, 0.2500, 0.5000)
Ce (0.0000, 0.0000, 0.0000)
Pr (0.4067, 0.4067, 0.0000)
Pr (0.5933, 0.5933, 0.0000)

Computed properties:
The total energy comes out at -23.48 eV for the cell shown. The calculation puts the energy of formation at 0.373 eV per atom. Its space group is I4/mmm, No. 139.

***

> Look up the energy of formation of the second one.

0.373 eV per atom

***

> Which of these has the highest energy of formation?

La2CePr2